[1]
Below is a relaxed U2PbC crystal, with properties calculated at the PBE-GGA level.

Unit cell a=3.2352 b=3.2352 c=26.5470 alpha=90.00 beta=90.00 gamma=120.00
Space group R-3m (No. 166, hexagonal axes)
One atom of each set of equivalent atoms:
U 0.0000 0.0000 0.2230 [6 per cell]
Pb 0.0000 0.0000 0.0000 [3 per cell]
C 0.0000 0.0000 0.5000 [3 per cell]

Results
Energy of formation from the pure elements in eV per atom: -0.025
Spin magnetization in Bohr magnetons per cell: 5.6

***

[2]
Below is a relaxed U2PbC crystal, with properties calculated at the PBE-GGA level.

Unit cell a=3.2159 b=3.2159 c=26.8608 alpha=90.00 beta=90.00 gamma=120.00
Space group R3m (No. 160, hexagonal axes)
One atom of each set of equivalent atoms:
U 0.0000 0.0000 0.0000 [3 per cell]
U 0.0000 0.0000 0.2215 [3 per cell]
Pb 0.0000 0.0000 0.7773 [3 per cell]
C 0.0000 0.0000 0.6105 [3 per cell]

Results
Energy of formation from the pure elements in eV per atom: -0.035
Spin magnetization in Bohr magnetons per cell: 1.2

***

[3]
Below is a relaxed VPbC3 crystal, with properties calculated at the PBE-GGA level.

Unit cell a=4.051 b=4.051 c=4.051 alpha=90.00 beta=90.00 gamma=90.00
Space group Pm-3m (No. 221)
One atom of each set of equivalent atoms:
V 0.000 0.000 0.000 [1 per cell]
Pb 0.500 0.500 0.500 [1 per cell]
C 0.000 0.000 0.500 [3 per cell]

Results
Energy of formation from the pure elements in eV per atom: 1.625
Spin magnetization in Bohr magnetons per cell: 0.0

***

[4]
Below is a relaxed V4PbC2 crystal, with properties calculated at the PBE-GGA level.

Unit cell a=4.919 b=4.919 c=10.459 alpha=90.00 beta=90.00 gamma=90.00
Space group I4/mmm (No. 139)
One atom of each set of equivalent atoms:
V 0.000 0.000 0.240 [4 per cell]
V 0.000 0.500 0.000 [4 per cell]
Pb 0.000 0.000 0.500 [2 per cell]
C 0.000 0.000 0.065 [4 per cell]

Results
Energy of formation from the pure elements in eV per atom: 1.382
Spin magnetization in Bohr magnetons per cell: 11.9

***

[5]
Below is a relaxed V2PbC crystal, with properties calculated at the PBE-GGA level.

Unit cell a=6.141 b=6.141 c=6.141 alpha=90.00 beta=90.00 gamma=90.00
Space group Fm-3m (No. 225)
One atom of each set of equivalent atoms:
V 0.250 0.250 0.250 [8 per cell]
Pb 0.000 0.000 0.000 [4 per cell]
C 0.000 0.000 0.500 [4 per cell]

Results
Energy of formation from the pure elements in eV per atom: 1.408
Spin magnetization in Bohr magnetons per cell: 0.0

***

[6]
Below is a relaxed VPbC3 crystal, with properties calculated at the PBE-GGA level.

Unit cell a=4.371 b=4.371 c=4.371 alpha=90.00 beta=90.00 gamma=90.00
Space group Pm-3m (No. 221)
One atom of each set of equivalent atoms:
V 0.000 0.000 0.000 [1 per cell]
Pb 0.500 0.500 0.500 [1 per cell]
C 0.000 0.500 0.500 [3 per cell]

Results
Energy of formation from the pure elements in eV per atom: 3.439
Spin magnetization in Bohr magnetons per cell: 2.0